Computed, not measured: SrAc5Ag6 after structural relaxation at the PBE level of DFT.

- density of states at the Fermi level (states/eV per atom) = 0.813
- energy (eV/cell) = -42.46
- E_form (eV/atom) = -0.26
- density (g cm⁻³) = 8.3

Unit cell a=5.6183 b=7.8731 c=8.8801 alpha=90.00 beta=71.48 gamma=90.00
With the nearest neighbours (Å) after each atom.
Fractional positions:
Ac  0.6650  0.0000  0.6699  8 Ag 3.42-3.43
Ac  0.0000  0.5000  0.0000  8 Ag 3.41-3.45
Ac  0.6658  0.5000  0.6675  8 Ag 3.41-3.43
Ag  0.1683  0.7491  0.6632  7 Ac 3.41-3.45, 1 Sr 3.46
Ac  0.3350  0.0000  0.3301  8 Ag 3.42-3.43
Sr  0.0000  0.0000  0.0000  8 Ag 3.45-3.46
Ag  0.1683  0.2509  0.6632  7 Ac 3.41-3.45, 1 Sr 3.46
Ac  0.3342  0.5000  0.3325  8 Ag 3.41-3.43
Ag  0.5000  0.7462  0.0000  6 Ac 3.41-3.42, 2 Sr 3.45
Ag  0.8317  0.7491  0.3368  7 Ac 3.41-3.45, 1 Sr 3.46
Ag  0.5000  0.2538  0.0000  6 Ac 3.41-3.42, 2 Sr 3.45
Ag  0.8317  0.2509  0.3368  7 Ac 3.41-3.45, 1 Sr 3.46